{"formula": "Y2ThCrC4", "functional": "PBE-GGA", "state": "optimized geometry", "space_group": "No. 63", "e_tot_ev_per_atom": -8.47, "lattice_angstrom": [[1.7508, -5.9387, 0.0000], [1.7508, 5.9387, 0.0000], [0.0000, 0.0000, 11.9989]], "species": ["Y", "Y", "Y", "Y", "Th", "Th", "Cr", "Cr", "C", "C", "C", "C", "C", "C", "C", "C"], "fractional_positions": [[0.1315, 0.8685, 0.5454], [0.1315, 0.8685, 0.9546], [0.8685, 0.1315, 0.0454], [0.8685, 0.1315, 0.4546], [0.4067, 0.5933, 0.7500], [0.5933, 0.4067, 0.2500], [0.3280, 0.6720, 0.2500], [0.6720, 0.3280, 0.7500], [0.0851, 0.9149, 0.7500], [0.2324, 0.7676, 0.1351], [0.2324, 0.7676, 0.3649], [0.5000, 0.5000, 0.0000], [0.5000, 0.5000, 0.5000], [0.7676, 0.2324, 0.6351], [0.7676, 0.2324, 0.8649], [0.9149, 0.0851, 0.2500]]}